[1]
The following is a PBE-GGA calculation of a relaxed Be2TlRh crystal, from Alexandria via LeMat-Bulk.

Geometry as CIF:
```
data_Be2TlRh
_chemical_formula_sum 'Be2 Tl1 Rh1'
_cell_length_a 2.967
_cell_length_b 2.948
_cell_length_c 6.776
_cell_angle_alpha 90.00
_cell_angle_beta 95.95
_cell_angle_gamma 90.00
_symmetry_space_group_name_H-M 'P 1 2/m 1'
_symmetry_Int_Tables_number 10
_symmetry_space_group_name_Hall '-P 2y'
loop_
_atom_site_label
_atom_site_type_symbol
_atom_site_fract_x
_atom_site_fract_y
_atom_site_fract_z
Be1 Be 0.041 0.000 0.164
Tl1 Tl 0.500 0.500 0.500
Rh1 Rh 0.500 0.500 0.000
```

Computed properties:
ΔE to the lowest computed polymorph	0.0	meV per atom
E_form	-0.050	eV/atom

[2]
The following is a PBE-GGA calculation of a relaxed Be4TlRh crystal, from Alexandria via LeMat-Bulk.

Geometry as CIF:
```
data_Be4TlRh
_chemical_formula_sum 'Be16 Tl4 Rh4'
_cell_length_a 6.458
_cell_length_b 6.458
_cell_length_c 6.458
_cell_angle_alpha 90.00
_cell_angle_beta 90.00
_cell_angle_gamma 90.00
_symmetry_space_group_name_H-M 'F -4 3 m'
_symmetry_Int_Tables_number 216
_symmetry_space_group_name_Hall 'F -4 2 3'
loop_
_atom_site_label
_atom_site_type_symbol
_atom_site_fract_x
_atom_site_fract_y
_atom_site_fract_z
Be1 Be 0.123 0.123 0.377
Tl1 Tl 0.000 0.000 0.000
Rh1 Rh 0.250 0.250 0.750
```

Computed properties:
E_form	-0.007	eV/atom

[3]
The following is a PBE-GGA calculation of a relaxed BeTl2Rh crystal, from Alexandria via LeMat-Bulk.

Geometry as CIF:
```
data_BeTl2Rh
_chemical_formula_sum 'Be2 Tl4 Rh2'
_cell_length_a 4.260
_cell_length_b 4.272
_cell_length_c 8.021
_cell_angle_alpha 90.00
_cell_angle_beta 90.00
_cell_angle_gamma 90.00
_symmetry_space_group_name_H-M 'I m m m'
_symmetry_Int_Tables_number 71
_symmetry_space_group_name_Hall '-I 2 2'
loop_
_atom_site_label
_atom_site_type_symbol
_atom_site_fract_x
_atom_site_fract_y
_atom_site_fract_z
Be1 Be 0.000 0.000 0.000
Tl1 Tl 0.000 0.500 0.250
Rh1 Rh 0.000 0.000 0.500
```

Computed properties:
ΔE to the lowest computed polymorph	446.4	meV per atom
E_form	0.481	eV/atom

[4]
The following is a PBE-GGA calculation of a relaxed BeTl2Rh crystal, from Alexandria via LeMat-Bulk.

Geometry as CIF:
```
data_BeTl2Rh
_chemical_formula_sum 'Be2 Tl4 Rh2'
_cell_length_a 6.246
_cell_length_b 7.076
_cell_length_c 3.315
_cell_angle_alpha 90.00
_cell_angle_beta 90.00
_cell_angle_gamma 90.00
_symmetry_space_group_name_H-M 'C m m m'
_symmetry_Int_Tables_number 65
_symmetry_space_group_name_Hall '-C 2 2'
loop_
_atom_site_label
_atom_site_type_symbol
_atom_site_fract_x
_atom_site_fract_y
_atom_site_fract_z
Be1 Be 0.000 0.000 0.000
Tl1 Tl 0.250 0.250 0.500
Rh1 Rh 0.000 0.500 0.000
```

Computed properties:
ΔE to the lowest computed polymorph	453.5	meV per atom
E_form	0.488	eV/atom

[5]
The following is a PBE-GGA calculation of a relaxed Be2TlRh crystal, from Alexandria via LeMat-Bulk.

Geometry as CIF:
```
data_Be2TlRh
_chemical_formula_sum 'Be8 Tl4 Rh4'
_cell_length_a 6.109
_cell_length_b 6.109
_cell_length_c 6.109
_cell_angle_alpha 90.00
_cell_angle_beta 90.00
_cell_angle_gamma 90.00
_symmetry_space_group_name_H-M 'F -4 3 m'
_symmetry_Int_Tables_number 216
_symmetry_space_group_name_Hall 'F -4 2 3'
loop_
_atom_site_label
_atom_site_type_symbol
_atom_site_fract_x
_atom_site_fract_y
_atom_site_fract_z
Be1 Be 0.000 0.000 0.000
Be2 Be 0.250 0.250 0.250
Tl1 Tl 0.250 0.250 0.750
Rh1 Rh 0.000 0.000 0.500
```

Computed properties:
ΔE to the lowest computed polymorph	446.2	meV per atom
E_form	0.396	eV/atom

[6]
The following is a PBE-GGA calculation of a relaxed Be4TlRh2 crystal, from Alexandria via LeMat-Bulk.

Geometry as CIF:
```
data_Be4TlRh2
_chemical_formula_sum 'Be8 Tl2 Rh4'
_cell_length_a 4.316
_cell_length_b 4.316
_cell_length_c 11.821
_cell_angle_alpha 90.00
_cell_angle_beta 90.00
_cell_angle_gamma 90.00
_symmetry_space_group_name_H-M 'I 4/m m m'
_symmetry_Int_Tables_number 139
_symmetry_space_group_name_Hall '-I 4 2'
loop_
_atom_site_label
_atom_site_type_symbol
_atom_site_fract_x
_atom_site_fract_y
_atom_site_fract_z
Be1 Be 0.000 0.000 0.207
Be2 Be 0.000 0.500 0.000
Tl1 Tl 0.000 0.000 0.000
Rh1 Rh 0.000 0.000 0.386
```

Computed properties:
E_form	0.890	eV/atom

[7]
The following is a PBE-GGA calculation of a relaxed BeTl2Rh crystal, from Alexandria via LeMat-Bulk.

Geometry as CIF:
```
data_BeTl2Rh
_chemical_formula_sum 'Be4 Tl8 Rh4'
_cell_length_a 6.664
_cell_length_b 6.664
_cell_length_c 6.664
_cell_angle_alpha 90.00
_cell_angle_beta 90.00
_cell_angle_gamma 90.00
_symmetry_space_group_name_H-M 'F m -3 m'
_symmetry_Int_Tables_number 225
_symmetry_space_group_name_Hall '-F 4 2 3'
loop_
_atom_site_label
_atom_site_type_symbol
_atom_site_fract_x
_atom_site_fract_y
_atom_site_fract_z
Be1 Be 0.000 0.000 0.000
Tl1 Tl 0.250 0.250 0.250
Rh1 Rh 0.000 0.000 0.500
```

Computed properties:
ΔE to the lowest computed polymorph	491.6	meV per atom
E_form	0.526	eV/atom

[8]
The following is a PBE-GGA calculation of a relaxed Be2TlRh2 crystal, from Alexandria via LeMat-Bulk.

Geometry as CIF:
```
data_Be2TlRh2
_chemical_formula_sum 'Be4 Tl2 Rh4'
_cell_length_a 6.920
_cell_length_b 6.920
_cell_length_c 2.905
_cell_angle_alpha 90.00
_cell_angle_beta 90.00
_cell_angle_gamma 90.00
_symmetry_space_group_name_H-M 'P 4/m b m'
_symmetry_Int_Tables_number 127
_symmetry_space_group_name_Hall '-P 4 2ab'
loop_
_atom_site_label
_atom_site_type_symbol
_atom_site_fract_x
_atom_site_fract_y
_atom_site_fract_z
Be1 Be 0.133 0.367 0.000
Tl1 Tl 0.000 0.000 0.500
Rh1 Rh 0.146 0.646 0.500
```

Computed properties:
ΔE to the lowest computed polymorph	103.7	meV per atom
E_form	-0.134	eV/atom

[9]
The following is a PBE-GGA calculation of a relaxed Be2TlRh crystal, from Alexandria via LeMat-Bulk.

Geometry as CIF:
```
data_Be2TlRh
_chemical_formula_sum 'Be4 Tl2 Rh2'
_cell_length_a 5.737
_cell_length_b 5.759
_cell_length_c 3.233
_cell_angle_alpha 90.00
_cell_angle_beta 90.14
_cell_angle_gamma 90.00
_symmetry_space_group_name_H-M 'C 1 2/m 1'
_symmetry_Int_Tables_number 12
_symmetry_space_group_name_Hall '-C 2y'
loop_
_atom_site_label
_atom_site_type_symbol
_atom_site_fract_x
_atom_site_fract_y
_atom_site_fract_z
Be1 Be 0.250 0.250 0.000
Tl1 Tl 0.000 0.000 0.500
Rh1 Rh 0.000 0.500 0.500
```

Computed properties:
ΔE to the lowest computed polymorph	220.9	meV per atom
E_form	0.171	eV/atom

[10]
The following is a PBE-GGA calculation of a relaxed BeTl2Rh crystal, from Alexandria via LeMat-Bulk.

Geometry as CIF:
```
data_BeTl2Rh
_chemical_formula_sum 'Be3 Tl6 Rh3'
_cell_length_a 3.3330
_cell_length_b 3.3330
_cell_length_c 23.8380
_cell_angle_alpha 90.00
_cell_angle_beta 90.00
_cell_angle_gamma 120.00
_symmetry_space_group_name_H-M 'R -3 m'
_symmetry_Int_Tables_number 166
_symmetry_space_group_name_Hall '-R 3 2"'
loop_
_atom_site_label
_atom_site_type_symbol
_atom_site_fract_x
_atom_site_fract_y
_atom_site_fract_z
Be1 Be 0.0000 0.0000 0.0000
Tl1 Tl 0.0000 0.0000 0.2530
Rh1 Rh 0.0000 0.0000 0.5000
```

Computed properties:
ΔE to the lowest computed polymorph	479.5	meV per atom
E_form	0.514	eV/atom

[11]
The following is a PBE-GGA calculation of a relaxed Be3TlRh crystal, from Alexandria via LeMat-Bulk.

Geometry as CIF:
```
data_Be3TlRh
_chemical_formula_sum 'Be3 Tl1 Rh1'
_cell_length_a 4.306
_cell_length_b 4.306
_cell_length_c 4.306
_cell_angle_alpha 90.00
_cell_angle_beta 90.00
_cell_angle_gamma 90.00
_symmetry_space_group_name_H-M 'P m -3 m'
_symmetry_Int_Tables_number 221
_symmetry_space_group_name_Hall '-P 4 2 3'
loop_
_atom_site_label
_atom_site_type_symbol
_atom_site_fract_x
_atom_site_fract_y
_atom_site_fract_z
Be1 Be 0.000 0.000 0.500
Tl1 Tl 0.500 0.500 0.500
Rh1 Rh 0.000 0.000 0.000
```

Computed properties:
ΔE to the lowest computed polymorph	0.0	meV per atom
E_form	0.323	eV/atom

[12]
The following is a PBE-GGA calculation of a relaxed BeTl2Rh crystal, from Alexandria via LeMat-Bulk.

Geometry as CIF:
```
data_BeTl2Rh
_chemical_formula_sum 'Be1 Tl2 Rh1'
_cell_length_a 4.730
_cell_length_b 4.730
_cell_length_c 3.282
_cell_angle_alpha 90.00
_cell_angle_beta 90.00
_cell_angle_gamma 90.00
_symmetry_space_group_name_H-M 'P 4/m m m'
_symmetry_Int_Tables_number 123
_symmetry_space_group_name_Hall '-P 4 2'
loop_
_atom_site_label
_atom_site_type_symbol
_atom_site_fract_x
_atom_site_fract_y
_atom_site_fract_z
Be1 Be 0.000 0.000 0.000
Tl1 Tl 0.000 0.500 0.500
Rh1 Rh 0.500 0.500 0.000
```

Computed properties:
ΔE to the lowest computed polymorph	455.7	meV per atom
E_form	0.490	eV/atom

> Among the records above, which one has the highest E_form?

Be4TlRh2

> Look up the E_form of the third one.

0.481 eV/atom

> Number 12 is which compound?

BeTl2Rh

> Look up the E_form of the seventh one.

0.526 eV/atom